[1]
Material: BiS4
Method: DFT, PBE
State: relaxed

Cell: 5.307 5.307 5.307 Å, 90.00 90.00 90.00°
Each line ends with the local moment (μB).
Positions (direct):
S: 0.000 0.000 0.000  1.27
Bi: 0.500 0.500 0.500  -0.01
S: 0.000 0.500 0.500  0.49
S: 0.500 0.000 0.500  0.49
S: 0.500 0.500 0.000  0.49

Calculated values
Energy above the most stable polymorph in this dataset = 0.928 eV/atom
Crystal system = cubic
Formation energy without anion corrections = 1.0696 eV/atom
Symmetry = Pm-3m (221)

[2]
Material: In2NiAu2
Method: DFT, PBE
State: relaxed

Cell: 7.159 7.159 3.914 Å, 90.00 90.00 90.00°
Positions (direct):
In: 0.837 0.663 0.000
Au: 0.142 0.642 0.500
Au: 0.642 0.858 0.500
In: 0.337 0.837 0.000
Ni: 0.500 0.500 0.000
Ni: 0.000 0.000 0.000
Au: 0.358 0.142 0.500
Au: 0.858 0.358 0.500
In: 0.163 0.337 0.000
In: 0.663 0.163 0.000

Calculated values
ΔE_f = 0.133 eV per atom
Energy above the most stable polymorph in this dataset = 0.068 eV/atom
Crystal system = tetragonal
Symmetry = P4/mbm (127)

Q: energy above the most stable polymorph in this dataset of number 1 (BiS4)?
A: 0.928 eV/atom

Q: Which value of energy above the most stable polymorph in this dataset does entry 1 give?
A: 0.928 eV/atom

Q: Which value of energy above the most stable polymorph in this dataset does entry 2 give?
A: 0.068 eV/atom

Q: Which of these has the lowest energy above the most stable polymorph in this dataset?
A: In2NiAu2